1.
Here is a geometry-optimized ScNi2Sb structure from the Alexandria database. Energies are from PBE.

Calculated values
Raw formation energy: -0.11 eV per atom
Magnetization: 0.0 μB per formula unit

a = 5.153 Å, b = 5.153 Å, c = 3.132 Å
α = 74.15°, β = 74.15°, γ = 112.55°
Fractional coordinates of all 4 atoms:
Sb 0.500 0.000 0.500
Ni 0.500 0.500 0.000
Sc 0.000 0.500 0.500
Ni 0.000 0.000 0.000

=====

2.
Here is a geometry-optimized ScNiSb2 structure from the Alexandria database. Energies are from PBE.

Calculated values
Raw formation energy: -0.16 eV per atom
Magnetization: 0.0 μB per formula unit

a = 8.620 Å, b = 8.620 Å, c = 8.620 Å
α = 23.50°, β = 23.50°, γ = 23.50°
Fractional coordinates of all 4 atoms:
Sb 0.023 0.023 0.023
Sc 0.484 0.484 0.484
Sb 0.244 0.244 0.244
Ni 0.749 0.749 0.749

=====

3.
Here is a geometry-optimized Sc5Ni2Sb structure from the Alexandria database. Energies are from PBE.

Calculated values
Raw formation energy: -0.55 eV per atom
Magnetization: 0.0 μB per formula unit

a = 7.132 Å, b = 7.132 Å, c = 8.073 Å
α = 116.22°, β = 116.22°, γ = 90.00°
Fractional coordinates of all 16 atoms:
Ni 0.868 0.632 0.000
Ni 0.368 0.868 0.000
Sc 0.294 0.794 0.276
Sc 0.794 0.982 0.276
Sb 0.750 0.750 0.500
Sc 0.482 0.294 0.276
Sc 0.018 0.518 0.724
Ni 0.632 0.132 0.000
Sc 0.206 0.018 0.724
Sc 0.500 0.500 0.000
Ni 0.132 0.368 0.000
Sc 0.706 0.206 0.724
Sb 0.250 0.250 0.500
Sc 0.982 0.482 0.276
Sc 0.518 0.706 0.724
Sc 0.000 0.000 0.000

=====

4.
Here is a geometry-optimized ScNiSb3 structure from the Alexandria database. Energies are from PBE.

Calculated values
Raw formation energy: 0.10 eV per atom
Magnetization: 0.0 μB per formula unit

a = 5.005 Å, b = 5.005 Å, c = 5.005 Å
α = 90.00°, β = 90.00°, γ = 90.00°
Fractional coordinates of all 5 atoms:
Sb 0.000 0.000 0.500
Sb 0.500 0.000 0.000
Ni 0.000 0.000 0.000
Sb 0.000 0.500 0.000
Sc 0.500 0.500 0.500

=====

> Look up the raw formation energy of the third one.

-0.55 eV per atom